Run w
A relaxed structure of Y8Er6Sc, computed with PBE-GGA.

POSCAR file:
```
Y8Er6Sc
1.0
9.797 0.000 0.000
-4.898 8.484 0.000
0.000 0.000 5.709
Y Er Sc
8 6 1
direct
0.050 0.270 0.234 Y
0.220 0.950 0.234 Y
0.270 0.220 0.766 Y
0.333 0.667 0.235 Y
0.667 0.333 0.765 Y
0.730 0.780 0.234 Y
0.780 0.050 0.766 Y
0.950 0.730 0.766 Y
0.092 0.471 0.741 Er
0.380 0.908 0.741 Er
0.471 0.380 0.259 Er
0.529 0.620 0.741 Er
0.620 0.092 0.259 Er
0.908 0.529 0.259 Er
0.000 0.000 0.500 Sc
```

Run x
A relaxed structure of Y8Er6Sc, computed with PBE-GGA.

POSCAR file:
```
Y8Er6Sc
1.0
4.841 2.795 5.815
-4.841 2.795 5.815
0.000 -5.590 5.815
Y Er Sc
8 6 1
direct
0.091 0.091 0.091 Y
0.149 0.268 0.567 Y
0.268 0.567 0.149 Y
0.433 0.851 0.732 Y
0.567 0.149 0.268 Y
0.732 0.433 0.851 Y
0.851 0.732 0.433 Y
0.909 0.909 0.909 Y
0.120 0.560 0.786 Er
0.214 0.880 0.440 Er
0.440 0.214 0.880 Er
0.560 0.786 0.120 Er
0.786 0.120 0.560 Er
0.880 0.440 0.214 Er
0.500 0.500 0.500 Sc
```

The winner here is run w, beating the second structure by 4.1 kJ/mol of atoms.

Run w
A relaxed structure of Y2Er2Sc5, computed with PBE-GGA.

POSCAR file:
```
Y2Er2Sc5
1.0
8.269 0.000 0.000
4.134 7.202 0.000
2.078 -0.323 8.400
Y Er Sc
4 4 10
direct
0.000 0.000 0.000 Y
0.012 0.382 0.565 Y
0.510 0.328 0.189 Y
0.527 0.701 0.740 Y
0.191 0.541 0.952 Er
0.206 0.923 0.510 Er
0.670 0.227 0.778 Er
0.691 0.595 0.328 Er
0.026 0.717 0.322 Sc
0.175 0.208 0.193 Sc
0.310 0.144 0.816 Sc
0.364 0.476 0.555 Sc
0.371 0.757 0.125 Sc
0.562 0.010 0.466 Sc
0.640 0.913 0.050 Sc
0.832 0.166 0.394 Sc
0.839 0.451 0.963 Sc
0.894 0.786 0.700 Sc
```

Run x
A relaxed structure of Y2Er2Sc5, computed with PBE-GGA.

POSCAR file:
```
Y2Er2Sc5
1.0
-5.796 4.144 5.253
5.796 -4.144 5.253
5.796 4.144 -5.253
Y Er Sc
4 4 10
direct
0.126 0.105 0.231 Y
0.126 0.395 0.521 Y
0.874 0.605 0.479 Y
0.874 0.895 0.769 Y
0.199 0.057 0.642 Er
0.415 0.557 0.358 Er
0.436 0.436 0.000 Er
0.436 0.936 0.500 Er
0.004 0.295 0.907 Sc
0.004 0.598 0.209 Sc
0.180 0.695 0.985 Sc
0.389 0.098 0.093 Sc
0.389 0.795 0.791 Sc
0.637 0.323 0.566 Sc
0.637 0.571 0.814 Sc
0.710 0.195 0.015 Sc
0.757 0.071 0.434 Sc
0.757 0.823 0.186 Sc
```

The winner here is run w, beating the second structure by 10.4 kJ/mol of atoms.

Run w
A relaxed structure of Y4ErSc2, computed with PBE-GGA.

POSCAR file:
```
Y4ErSc2
1.0
6.829 0.000 0.000
0.000 9.852 0.000
-2.028 0.000 6.432
Y Er Sc
8 2 4
direct
0.194 0.214 0.230 Y
0.194 0.786 0.230 Y
0.306 0.286 0.770 Y
0.306 0.714 0.770 Y
0.694 0.286 0.230 Y
0.694 0.714 0.230 Y
0.806 0.214 0.770 Y
0.806 0.786 0.770 Y
0.000 0.000 0.500 Er
0.500 0.500 0.500 Er
0.000 0.500 0.000 Sc
0.000 0.500 0.500 Sc
0.500 0.000 0.000 Sc
0.500 0.000 0.500 Sc
```

Run x
A relaxed structure of Y4ErSc2, computed with PBE-GGA.

POSCAR file:
```
Y4ErSc2
1.0
5.456 0.000 0.000
0.000 6.822 0.000
-2.730 0.000 11.307
Y Er Sc
8 2 4
direct
0.072 0.250 0.148 Y
0.216 0.750 0.433 Y
0.355 0.000 0.710 Y
0.355 0.500 0.710 Y
0.645 0.000 0.290 Y
0.645 0.500 0.290 Y
0.784 0.250 0.567 Y
0.928 0.750 0.852 Y
0.076 0.750 0.147 Er
0.924 0.250 0.853 Er
0.214 0.250 0.426 Sc
0.497 0.250 0.998 Sc
0.503 0.750 0.002 Sc
0.786 0.750 0.574 Sc
```

The winner here is run x, beating the second structure by 5.7 kJ/mol of atoms.

Run w
A relaxed structure of Y2Er3Sc2, computed with PBE-GGA.

POSCAR file:
```
Y2Er3Sc2
1.0
-4.725 4.725 4.725
4.725 -4.725 4.725
4.725 4.725 -4.725
Y Er Sc
4 6 4
direct
0.000 0.696 0.500 Y
0.500 0.000 0.696 Y
0.696 0.500 0.000 Y
0.804 0.804 0.804 Y
0.185 0.935 0.250 Er
0.250 0.185 0.935 Er
0.315 0.565 0.750 Er
0.565 0.750 0.315 Er
0.750 0.315 0.565 Er
0.935 0.250 0.185 Er
0.000 0.102 0.500 Sc
0.102 0.500 0.000 Sc
0.398 0.398 0.398 Sc
0.500 0.000 0.102 Sc
```

Run x
A relaxed structure of Y2Er3Sc2, computed with PBE-GGA.

POSCAR file:
```
Y2Er3Sc2
1.0
6.253 0.000 0.000
0.000 10.453 0.000
-0.302 0.000 6.391
Y Er Sc
4 6 4
direct
0.142 0.240 0.248 Y
0.142 0.260 0.748 Y
0.858 0.740 0.252 Y
0.858 0.760 0.752 Y
0.000 0.000 0.000 Er
0.000 0.500 0.500 Er
0.256 0.558 0.030 Er
0.256 0.942 0.530 Er
0.744 0.058 0.470 Er
0.744 0.442 0.970 Er
0.445 0.645 0.532 Sc
0.445 0.855 0.032 Sc
0.555 0.145 0.968 Sc
0.555 0.355 0.468 Sc
```

The winner here is run x, beating the second structure by 0.9 kJ/mol of atoms.

Run w
A relaxed structure of Y6ErSc, computed with PBE-GGA.

POSCAR file:
```
Y6ErSc
1.0
6.477 0.000 0.000
-0.232 6.764 0.000
-1.359 -3.318 5.788
Y Er Sc
6 1 1
direct
0.229 0.406 0.470 Y
0.248 0.939 0.996 Y
0.260 0.919 0.510 Y
0.740 0.081 0.490 Y
0.752 0.061 0.004 Y
0.771 0.594 0.530 Y
0.500 0.500 0.000 Er
0.000 0.500 0.000 Sc
```

Run x
A relaxed structure of Y6ErSc, computed with PBE-GGA.

POSCAR file:
```
Y6ErSc
1.0
5.599 0.000 0.000
0.000 7.200 0.000
0.000 0.000 12.467
Y Er Sc
12 2 2
direct
0.000 0.000 0.000 Y
0.000 0.247 0.753 Y
0.000 0.253 0.253 Y
0.000 0.500 0.500 Y
0.000 0.747 0.253 Y
0.000 0.753 0.753 Y
0.500 0.000 0.337 Y
0.500 0.248 0.585 Y
0.500 0.252 0.085 Y
0.500 0.500 0.837 Y
0.500 0.748 0.085 Y
0.500 0.752 0.585 Y
0.000 0.000 0.502 Er
0.000 0.500 0.002 Er
0.500 0.000 0.835 Sc
0.500 0.500 0.335 Sc
```

The winner here is run x, beating the second structure by 19.5 kJ/mol of atoms.

Run w
A relaxed structure of Y3Er2Sc2, computed with PBE-GGA.

POSCAR file:
```
Y3Er2Sc2
1.0
5.203 0.000 0.000
0.000 23.174 0.000
0.000 0.000 3.430
Y Er Sc
6 4 4
direct
0.000 0.000 0.000 Y
0.000 0.424 0.500 Y
0.000 0.576 0.500 Y
0.500 0.076 0.500 Y
0.500 0.500 0.000 Y
0.500 0.924 0.500 Y
0.000 0.285 0.500 Er
0.000 0.715 0.500 Er
0.500 0.215 0.500 Er
0.500 0.785 0.500 Er
0.000 0.153 0.000 Sc
0.000 0.847 0.000 Sc
0.500 0.347 0.000 Sc
0.500 0.653 0.000 Sc
```

Run x
A relaxed structure of Y3Er2Sc2, computed with PBE-GGA.

POSCAR file:
```
Y3Er2Sc2
1.0
16.910 0.000 0.000
0.000 3.403 0.000
-4.067 0.000 7.289
Y Er Sc
6 4 4
direct
0.000 0.000 0.000 Y
0.213 0.000 0.303 Y
0.287 0.500 0.697 Y
0.500 0.500 0.000 Y
0.713 0.500 0.303 Y
0.787 0.000 0.697 Y
0.141 0.000 0.813 Er
0.359 0.500 0.187 Er
0.641 0.500 0.813 Er
0.859 0.000 0.187 Er
0.064 0.500 0.411 Sc
0.436 0.000 0.589 Sc
0.564 0.000 0.411 Sc
0.936 0.500 0.589 Sc
```

The winner here is run w, beating the second structure by 5.7 kJ/mol of atoms.